Record 1
Computed, not measured: an optimized crystal structure of La6InPt2 at the GGA-PBE level of DFT.

Unit cell a=6.0871 b=6.0871 c=9.4386 alpha=93.66 beta=93.66 gamma=50.30
Last column: nearest neighbours and their distance in Å.
Fractional positions:
La: 0.0750 0.0750 0.3546  3 Pt 3.02-3.18, 3 La 3.28-3.30
La: 0.3068 0.3068 0.9012  1 Pt 2.78
La: 0.3919 0.3919 0.3312  3 Pt 3.09-3.14, 2 La 3.28
La: 0.6081 0.6081 0.6688  3 Pt 3.09-3.14, 2 La 3.28
La: 0.6932 0.6932 0.0988  1 Pt 2.78
La: 0.9250 0.9250 0.6454  3 Pt 3.02-3.18, 3 La 3.28-3.30
In: 0.0000 0.0000 0.0000  8 La 3.39-3.57
Pt: 0.2580 0.2580 0.6086  3 La 2.78-3.09
Pt: 0.7420 0.7420 0.3914  3 La 2.78-3.09

## Properties
For the volume, the calculation gives 29.82 Å³ per atom. Its symmetry is C2/m, No. 12. The magnetic moment comes out at 0.0 μB/cell. As for the formation energy: -0.62 eV per atom.



Record 2
Computed, not measured: an optimized crystal structure of La3InPt at the GGA-PBE level of DFT.

Unit cell a=7.6413 b=4.3568 c=9.4988 alpha=90.00 beta=101.40 gamma=90.00
Last column: nearest neighbours and their distance in Å.
Fractional positions:
La: 0.0387 0.2500 0.1733  3 Pt 3.05-3.10
La: 0.3265 0.7500 0.4203  1 Pt 3.11, 3 In 3.31-3.43
La: 0.4463 0.7500 0.8310  3 Pt 2.98-3.03
La: 0.5537 0.2500 0.1690  3 Pt 2.98-3.03
La: 0.6735 0.2500 0.5797  1 Pt 3.11, 3 In 3.31-3.43
La: 0.9613 0.7500 0.8267  3 Pt 3.05-3.10
In: 0.1263 0.2500 0.5977  2 In 3.24, 5 La 3.31-3.49
In: 0.8737 0.7500 0.4023  2 In 3.24, 5 La 3.31-3.49
Pt: 0.2763 0.7500 0.0876  7 La 2.98-3.11
Pt: 0.7237 0.2500 0.9124  7 La 2.98-3.11

## Properties
The energy above the most stable polymorph in this dataset is 0.023 eV per atom. For the volume, the calculation gives 31.00 Å³ per atom. Its symmetry is P2_1/m, No. 11. The magnetic moment comes out at 0.0 μB/cell. As for the formation energy: -0.64 eV per atom.



Record 3
Computed, not measured: an optimized crystal structure of La2InPt at the GGA-PBE level of DFT.

Unit cell a=5.1547 b=5.1547 c=4.1084 alpha=90.00 beta=90.00 gamma=90.08
Last column: nearest neighbours and their distance in Å.
Fractional positions:
La: 0.0000 0.5000 0.0000  4 Pt 3.30, 4 In 3.30, 4 La 3.64-3.65
La: 0.5000 0.0000 0.0000  4 Pt 3.30, 4 In 3.30, 4 La 3.64-3.65
In: 0.0000 0.0000 0.5000  8 La 3.30, 4 Pt 3.64-3.65
Pt: 0.5000 0.5000 0.5000  8 La 3.30, 4 In 3.64-3.65

## Properties
For the volume, the calculation gives 27.29 Å³ per atom. Its symmetry is Cmmm, No. 65. The magnetic moment comes out at 0.0 μB/cell. As for the formation energy: -0.68 eV per atom.



Record 4
Computed, not measured: an optimized crystal structure of LaIn4Pt4 at the GGA-PBE level of DFT.

Unit cell a=8.9913 b=8.9913 c=5.3681 alpha=90.00 beta=90.00 gamma=90.00
Last column: nearest neighbours and their distance in Å.
Fractional positions:
La: 0.2500 0.2500 0.2500  4 Pt 2.97
La: 0.7500 0.7500 0.7500  4 Pt 2.97
In: 0.0996 0.6417 0.1575  5 Pt 2.72-2.83
In: 0.1417 0.9004 0.6575  5 Pt 2.72-2.83
In: 0.3583 0.5996 0.6575  5 Pt 2.72-2.83
In: 0.4004 0.8583 0.1575  5 Pt 2.72-2.83
In: 0.5996 0.1417 0.8425  5 Pt 2.72-2.83
In: 0.6417 0.4004 0.3425  5 Pt 2.72-2.83
In: 0.8583 0.0996 0.3425  5 Pt 2.72-2.83
In: 0.9004 0.3583 0.8425  5 Pt 2.72-2.83
Pt: 0.0439 0.6092 0.6624  5 In 2.72-2.83, 1 Pt 2.74, 1 La 2.97
Pt: 0.1092 0.9561 0.1624  5 In 2.72-2.83, 1 Pt 2.74, 1 La 2.97
Pt: 0.3908 0.5439 0.1624  5 In 2.72-2.83, 1 Pt 2.74, 1 La 2.97
Pt: 0.4561 0.8908 0.6624  5 In 2.72-2.83, 1 Pt 2.74, 1 La 2.97
Pt: 0.5439 0.1092 0.3376  5 In 2.72-2.83, 1 Pt 2.74, 1 La 2.97
Pt: 0.6092 0.4561 0.8376  5 In 2.72-2.83, 1 Pt 2.74, 1 La 2.97
Pt: 0.8908 0.0439 0.8376  5 In 2.72-2.83, 1 Pt 2.74, 1 La 2.97
Pt: 0.9561 0.3908 0.3376  5 In 2.72-2.83, 1 Pt 2.74, 1 La 2.97

## Properties
For the volume, the calculation gives 24.11 Å³ per atom. Its symmetry is P4_2/n, No. 86. The magnetic moment comes out at 0.0 μB/cell. As for the formation energy: -0.56 eV per atom.



Record 5
Computed, not measured: an optimized crystal structure of LaIn5Pt3 at the GGA-PBE level of DFT.

Unit cell a=7.5682 b=7.5682 c=13.7791 alpha=90.00 beta=90.00 gamma=148.16
Last column: nearest neighbours and their distance in Å.
Fractional positions:
La: 0.1708 0.8292 0.7500  6 Pt 3.33-3.38
La: 0.8292 0.1708 0.2500  6 Pt 3.33-3.38
In: 0.0000 0.0000 0.0000  4 Pt 2.82, 6 In 3.02-3.03
In: 0.0000 0.0000 0.5000  4 Pt 2.82, 6 In 3.02-3.03
In: 0.1999 0.8001 0.0598  4 Pt 2.69-2.97
In: 0.1999 0.8001 0.4402  4 Pt 2.69-2.97
In: 0.4430 0.5570 0.6485  4 Pt 2.75-3.07, 3 In 2.80-3.03
In: 0.4430 0.5570 0.8515  4 Pt 2.75-3.07, 3 In 2.80-3.03
In: 0.5570 0.4430 0.1485  4 Pt 2.75-3.07, 3 In 2.80-3.03
In: 0.5570 0.4430 0.3515  4 Pt 2.75-3.07, 3 In 2.80-3.03
In: 0.8001 0.1999 0.5598  4 Pt 2.69-2.97
In: 0.8001 0.1999 0.9402  4 Pt 2.69-2.97
Pt: 0.1503 0.8497 0.2500  6 In 2.72-2.85
Pt: 0.3849 0.6151 0.0655  6 In 2.69-2.97
Pt: 0.3849 0.6151 0.4345  6 In 2.69-2.97
Pt: 0.6151 0.3849 0.5655  6 In 2.69-2.97
Pt: 0.6151 0.3849 0.9345  6 In 2.69-2.97
Pt: 0.8497 0.1503 0.7500  6 In 2.72-2.85

## Properties
For the volume, the calculation gives 23.13 Å³ per atom. Its symmetry is Cmcm, No. 63. The magnetic moment comes out at 0.0 μB/cell. As for the formation energy: -0.49 eV per atom.



Record 6
Computed, not measured: an optimized crystal structure of LaIn2Pt at the GGA-PBE level of DFT.

Unit cell a=11.8139 b=11.8139 c=11.8139 alpha=159.06 beta=159.06 gamma=29.78
Last column: nearest neighbours and their distance in Å.
Fractional positions:
La: 0.0000 0.0000 0.0000  4 Pt 3.04, 4 In 3.27
La: 0.7500 0.2500 0.5000  4 Pt 3.04, 4 In 3.27
In: 0.1485 0.6250 0.0236  4 In 2.90-3.18, 2 Pt 3.20
In: 0.3750 0.3986 0.5236  4 In 2.90-3.18, 2 Pt 3.20
In: 0.6014 0.1250 0.9764  4 In 2.90-3.18, 2 Pt 3.20
In: 0.8750 0.8514 0.4764  4 In 2.90-3.18, 2 Pt 3.20
Pt: 0.2500 0.7500 0.5000  4 La 3.04, 4 In 3.20
Pt: 0.5000 0.5000 0.0000  4 La 3.04, 4 In 3.20

## Properties
For the volume, the calculation gives 26.30 Å³ per atom. Its symmetry is I-42d, No. 122. The magnetic moment comes out at 0.0 μB/cell. As for the formation energy: -0.44 eV per atom.



Record 7
Computed, not measured: an optimized crystal structure of LaIn2Pt2 at the GGA-PBE level of DFT.

Unit cell a=7.5999 b=7.5999 c=3.9173 alpha=90.00 beta=90.00 gamma=90.00
Last column: nearest neighbours and their distance in Å.
Fractional positions:
La: 0.0000 0.0000 0.0000  4 Pt 2.97
La: 0.5000 0.5000 0.0000  4 Pt 2.97
In: 0.1582 0.3418 0.5000  6 Pt 2.96-2.98
In: 0.3418 0.8418 0.5000  6 Pt 2.96-2.98
In: 0.6582 0.1582 0.5000  6 Pt 2.96-2.98
In: 0.8418 0.6582 0.5000  6 Pt 2.96-2.98
Pt: 0.1329 0.6329 0.0000  1 Pt 2.86, 6 In 2.96-2.98, 2 La 2.97
Pt: 0.3671 0.1329 0.0000  1 Pt 2.86, 6 In 2.96-2.98, 2 La 2.97
Pt: 0.6329 0.8671 0.0000  1 Pt 2.86, 6 In 2.96-2.98, 2 La 2.97
Pt: 0.8671 0.3671 0.0000  1 Pt 2.86, 6 In 2.96-2.98, 2 La 2.97

## Properties
For the volume, the calculation gives 22.63 Å³ per atom. Its symmetry is P4/mbm, No. 127. The magnetic moment comes out at 0.0 μB/cell. As for the formation energy: -0.59 eV per atom.



Record 8
Computed, not measured: an optimized crystal structure of LaInPt3 at the GGA-PBE level of DFT.

Unit cell a=5.4917 b=7.8547 c=5.4172 alpha=90.00 beta=90.00 gamma=90.00
Last column: nearest neighbours and their distance in Å.
Fractional positions:
La: 0.0000 0.0000 0.0000  6 Pt 2.75-3.04
La: 0.5000 0.5000 0.0000  6 Pt 2.75-3.04
In: 0.0000 0.5000 0.5000  6 Pt 2.62-2.75
In: 0.5000 0.0000 0.5000  6 Pt 2.62-2.75
Pt: 0.0000 0.5000 0.0000  2 In 2.71, 2 La 2.75
Pt: 0.0610 0.1690 0.5000  2 In 2.62-2.75, 1 Pt 2.74
Pt: 0.4390 0.6690 0.5000  2 In 2.62-2.75, 1 Pt 2.74
Pt: 0.5000 0.0000 0.0000  2 In 2.71, 2 La 2.75
Pt: 0.5610 0.3310 0.5000  2 In 2.62-2.75, 1 Pt 2.74
Pt: 0.9390 0.8310 0.5000  2 In 2.62-2.75, 1 Pt 2.74

## Properties
The energy above the most stable polymorph in this dataset is 0.000 eV per atom. For the volume, the calculation gives 23.37 Å³ per atom. Its symmetry is Pbam, No. 55. The magnetic moment comes out at 0.0 μB/cell. As for the formation energy: -0.51 eV per atom.



Record 9
Computed, not measured: an optimized crystal structure of LaIn3Pt2 at the GGA-PBE level of DFT.

Unit cell a=9.3336 b=9.3336 c=10.9851 alpha=108.74 beta=108.74 gamma=27.53
Last column: nearest neighbours and their distance in Å.
Fractional positions:
La: 0.0000 0.0000 0.0000  6 Pt 3.24-3.53, 6 In 3.43-3.61
La: 0.1616 0.1616 0.7011  4 Pt 3.32-3.40, 6 In 3.45-3.59
La: 0.8384 0.8384 0.2989  4 Pt 3.32-3.40, 6 In 3.45-3.59
In: 0.0358 0.0358 0.3437  4 Pt 2.74-2.88, 2 In 3.01
In: 0.2135 0.2135 0.3936  4 Pt 2.67-2.82
In: 0.3261 0.3261 0.0387  4 Pt 2.71-2.88, 1 In 2.98
In: 0.3711 0.3711 0.8014  4 Pt 2.76-2.82, 1 In 2.98
In: 0.5000 0.5000 0.5000  2 Pt 2.68
In: 0.6289 0.6289 0.1986  4 Pt 2.76-2.82, 1 In 2.98
In: 0.6739 0.6739 0.9613  4 Pt 2.71-2.88, 1 In 2.98
In: 0.7865 0.7865 0.6064  4 Pt 2.67-2.82
In: 0.9642 0.9642 0.6563  4 Pt 2.74-2.88, 2 In 3.01
Pt: 0.2059 0.2059 0.1379  6 In 2.74-2.88
Pt: 0.3633 0.3633 0.5439  7 In 2.67-2.88
Pt: 0.4763 0.4763 0.1982  4 In 2.71-2.76
Pt: 0.5237 0.5237 0.8018  4 In 2.71-2.76
Pt: 0.6367 0.6367 0.4561  7 In 2.67-2.88
Pt: 0.7941 0.7941 0.8621  6 In 2.74-2.88

## Properties
The energy above the most stable polymorph in this dataset is 0.000 eV per atom. For the volume, the calculation gives 23.19 Å³ per atom. Its symmetry is C2/m, No. 12. The magnetic moment comes out at 0.0 μB/cell. As for the formation energy: -0.68 eV per atom.



Record 10
Computed, not measured: an optimized crystal structure of LaIn2Pt at the GGA-PBE level of DFT.

Unit cell a=5.9121 b=5.9121 c=5.9121 alpha=47.51 beta=47.51 gamma=47.51
Last column: nearest neighbours and their distance in Å.
Fractional positions:
La: 0.0000 0.0000 0.0000  1 Pt 3.08, 7 In 3.31-3.39
In: 0.5452 0.5452 0.5452  3 Pt 2.76
In: 0.7840 0.7840 0.7840  3 Pt 3.02, 3 In 3.12, 3 La 3.31
Pt: 0.1963 0.1963 0.1963  6 In 2.76-3.02, 1 La 3.08

## Properties
For the volume, the calculation gives 25.71 Å³ per atom. Its symmetry is R3m, No. 160. The magnetic moment comes out at 0.0 μB/cell. As for the formation energy: -0.64 eV per atom.



Record 11
Computed, not measured: an optimized crystal structure of La2InPt at the GGA-PBE level of DFT.

Unit cell a=3.5994 b=3.5994 c=8.7748 alpha=90.00 beta=90.00 gamma=90.00
Last column: nearest neighbours and their distance in Å.
Fractional positions:
La: 0.0000 0.0000 0.0000  4 In 3.37, 4 La 3.60, 1 Pt 3.75
La: 0.5000 0.5000 0.3789  4 Pt 3.06, 1 In 3.25
In: 0.5000 0.5000 0.7488  4 Pt 2.98, 1 La 3.25
Pt: 0.0000 0.0000 0.5731  4 In 2.98, 4 La 3.06

## Properties
For the volume, the calculation gives 28.42 Å³ per atom. Its symmetry is P4mm, No. 99. The magnetic moment comes out at 0.0 μB/cell. As for the formation energy: -0.51 eV per atom.



Record 12
Computed, not measured: an optimized crystal structure of LaInPt2 at the GGA-PBE level of DFT.

Unit cell a=4.8749 b=4.8749 c=3.6263 alpha=90.67 beta=90.67 gamma=89.91
Last column: nearest neighbours and their distance in Å.
Fractional positions:
La: 0.0000 0.0000 0.0000  8 Pt 3.02-3.05
In: 0.5000 0.5000 0.0000  8 Pt 3.02-3.05
Pt: 0.0000 0.5000 0.5000  4 La 3.02-3.05, 4 In 3.02-3.05
Pt: 0.5000 0.0000 0.5000  4 In 3.02-3.05, 4 La 3.02-3.05

## Properties
For the volume, the calculation gives 21.54 Å³ per atom. Its symmetry is C2/m, No. 12. The magnetic moment comes out at 0.0 μB/cell. As for the formation energy: -0.76 eV per atom.